# 1
Compound: Be2RuF
Source: Alexandria
Functional: GGA-PBE
Structure: optimized geometry

Unit cell a=5.603 b=5.603 c=5.603 alpha=90.00 beta=90.00 gamma=90.00
Atoms (fractional coordinates):
1 Be 0.250 0.250 0.250
2 Be 0.250 0.250 0.750
3 Be 0.250 0.750 0.250
4 Be 0.250 0.750 0.750
5 Be 0.750 0.250 0.250
6 Be 0.750 0.250 0.750
7 Be 0.750 0.750 0.250
8 Be 0.750 0.750 0.750
9 Ru 0.000 0.000 0.000
10 Ru 0.000 0.500 0.500
11 Ru 0.500 0.000 0.500
12 Ru 0.500 0.500 0.000
13 F 0.000 0.000 0.500
14 F 0.000 0.500 0.000
15 F 0.500 0.000 0.000
16 F 0.500 0.500 0.500

Calculated values
energy above the most stable polymorph in this dataset: 642 meV/atom
space group: Fm-3m (225)

---

# 2
Compound: BeRu3F
Source: Alexandria
Functional: GGA-PBE
Structure: optimized geometry

Unit cell a=4.171 b=4.171 c=4.171 alpha=90.00 beta=90.00 gamma=90.00
Atoms (fractional coordinates):
1 Be 0.000 0.000 0.000
2 Ru 0.000 0.000 0.500
3 Ru 0.000 0.500 0.000
4 Ru 0.500 0.000 0.000
5 F 0.500 0.500 0.500

Calculated values
energy above the most stable polymorph in this dataset: 0 meV/atom
space group: Pm-3m (221)

---

# 3
Compound: BeRuF3
Source: Alexandria
Functional: GGA-PBE
Structure: optimized geometry

Unit cell a=4.154 b=4.154 c=4.154 alpha=90.00 beta=90.00 gamma=90.00
Atoms (fractional coordinates):
1 Be 0.000 0.000 0.000
2 Ru 0.500 0.500 0.500
3 F 0.000 0.500 0.500
4 F 0.500 0.000 0.500
5 F 0.500 0.500 0.000

Calculated values
energy above the most stable polymorph in this dataset: 855 meV/atom
space group: Pm-3m (221)

---

Number 1: formation energy (no corrections) 0.30 eV per atom. Number 2: formation energy (no corrections) 0.97 eV per atom. Number 3: formation energy (no corrections) -0.43 eV per atom.